[1]
This record from the Alexandria database describes crystalline Li2CrOs at its relaxed geometry. The functional is PBEsol.

Output
The value obtained for the energy relative to the elements is 71.25 kJ per mole of atoms. As for the space group: P4/mmm, No. 123. As for the volume: 12.44 Å³ per atom. Its total magnetic moment is 2.2 μB per cell. Its energy relative to the lowest polymorph listed for this composition is 284 meV/atom.

Cell: 3.2201 3.2201 4.7989 Å, 90.00 90.00 90.00°
Last column: nearest neighbours and their distance in Å.
Sites, in units of the cell vectors:
Li 0.0000 0.0000 0.2374  2 Li 2.28-2.52, 4 Os 2.55
Li 0.0000 0.0000 0.7626  2 Li 2.28-2.52, 4 Os 2.55
Cr 0.5000 0.5000 0.5000  2 Os 2.40, 8 Li 2.60
Os 0.5000 0.5000 0.0000  2 Cr 2.40, 8 Li 2.55



[2]
This record from the Alexandria database describes crystalline CuC at its relaxed geometry. The functional is PBEsol.

Output
The value obtained for the energy relative to the elements is 73.25 kJ per mole of atoms. As for the space group: Cmcm, No. 63. As for the volume: 8.87 Å³ per atom. Its total magnetic moment is 0.0 μB per cell. Its energy relative to the lowest polymorph listed for this composition is 0 meV/atom.

Cell: 4.1165 4.1165 2.4982 Å, 90.00 90.00 123.07°
Last column: nearest neighbours and their distance in Å.
Sites, in units of the cell vectors:
Cu 0.1716 0.8284 0.7500  1 C 2.02
Cu 0.8284 0.1716 0.2500  1 C 2.02
C 0.4503 0.5497 0.7500  2 C 1.44
C 0.5497 0.4503 0.2500  2 C 1.44



[3]
This record from the Alexandria database describes crystalline CaOs2Au at its relaxed geometry. The functional is PBEsol.

Output
The value obtained for the energy relative to the elements is 47.98 kJ per mole of atoms. As for the space group: Pmmm, No. 47. As for the volume: 16.50 Å³ per atom. Its total magnetic moment is 0.0 μB per cell. Its energy relative to the lowest polymorph listed for this composition is 8 meV/atom.

Cell: 2.8948 4.6693 4.8825 Å, 90.00 90.00 90.00°
Last column: nearest neighbours and their distance in Å.
Sites, in units of the cell vectors:
Ca 0.0000 0.0000 0.0000  4 Au 2.75, 4 Os 2.84, 2 Ca 2.89
Os 0.0000 0.5000 0.5000  6 Os 2.75-2.89, 4 Au 2.84
Os 0.5000 0.0000 0.5000  6 Os 2.75-2.89, 4 Ca 2.84
Au 0.5000 0.5000 0.0000  4 Ca 2.75, 4 Os 2.84, 2 Au 2.89



[4]
This record from the Alexandria database describes crystalline Ba2SrBeAl at its relaxed geometry. The functional is PBEsol.

Output
The value obtained for the energy relative to the elements is 34.73 kJ per mole of atoms. As for the space group: P4/mmm, No. 123. As for the volume: 39.40 Å³ per atom. Its total magnetic moment is 0.0 μB per cell.

Cell: 6.5779 6.5779 4.5533 Å, 90.00 90.00 90.00°
Last column: nearest neighbours and their distance in Å.
Sites, in units of the cell vectors:
Ba 0.0000 0.5000 0.0000  2 Al 3.29
Ba 0.5000 0.0000 0.0000  2 Al 3.29
Sr 0.0000 0.0000 0.5000  8 Ba 4.00
Be 0.5000 0.5000 0.5000  2 Al 2.28
Al 0.5000 0.5000 0.0000  2 Be 2.28